Record 1
{"formula": "Pm6PbSe4", "functional": "PBE-GGA", "state": "optimized geometry", "total_magnetization_mub_per_atom": 0.000, "raw_formation_energy_mev_per_atom": -1454, "space_group": "Cmcm, No. 63", "density_kg_m3": 7397, "final_energy_ev_per_atom": -5.65, "dos_at_fermi_per_ev_atom": 0.788, "lattice": [[2.1460, -6.8495, 0.0000], [2.1460, 6.8495, 0.0000], [0.0000, 0.0000, 21.2740]], "species": ["Pm", "Pm", "Pm", "Pm", "Pm", "Pm", "Pm", "Pm", "Pm", "Pm", "Pm", "Pm", "Pb", "Pb", "Se", "Se", "Se", "Se", "Se", "Se", "Se", "Se"], "fractional_positions": [[0.0000, 0.0000, 0.0000], [0.0000, 0.0000, 0.5000], [0.1661, 0.8339, 0.7500], [0.2710, 0.7290, 0.0853], [0.2710, 0.7290, 0.4147], [0.4567, 0.5433, 0.6626], [0.4567, 0.5433, 0.8374], [0.5433, 0.4567, 0.1626], [0.5433, 0.4567, 0.3374], [0.7290, 0.2710, 0.5853], [0.7290, 0.2710, 0.9147], [0.8339, 0.1661, 0.2500], [0.1628, 0.8372, 0.2500], [0.8372, 0.1628, 0.7500], [0.0930, 0.9070, 0.6237], [0.0930, 0.9070, 0.8763], [0.3626, 0.6374, 0.5398], [0.3626, 0.6374, 0.9602], [0.6374, 0.3626, 0.0398], [0.6374, 0.3626, 0.4602], [0.9070, 0.0930, 0.1237], [0.9070, 0.0930, 0.3763]]}



Record 2
{"formula": "Pm5PbSe5", "functional": "PBE-GGA", "state": "optimized geometry", "total_magnetization_mub_per_atom": 0.000, "raw_formation_energy_mev_per_atom": -1622, "space_group": "C2/m, No. 12", "density_kg_m3": 6697, "final_energy_ev_per_atom": -5.70, "dos_at_fermi_per_ev_atom": 0.243, "lattice": [[6.7184, -3.0170, 0.0000], [6.7184, 3.0170, 0.0000], [-2.6803, 0.0000, 8.1167]], "species": ["Pm", "Pm", "Pm", "Pm", "Pm", "Pb", "Se", "Se", "Se", "Se", "Se"], "fractional_positions": [[0.0000, 0.0000, 0.0000], [0.3312, 0.3312, 0.6568], [0.3340, 0.3340, 0.1790], [0.6660, 0.6660, 0.8210], [0.6688, 0.6688, 0.3432], [0.5000, 0.5000, 0.0000], [0.1649, 0.1649, 0.3344], [0.1713, 0.1713, 0.8395], [0.5000, 0.5000, 0.5000], [0.8287, 0.8287, 0.1605], [0.8351, 0.8351, 0.6656]]}



Q: What is the formula in the first record?
A: Pm6PbSe4